First-principles (GGA-PBE) data for an optimized crystal structure of GdGaSn2, as listed in Alexandria.

ΔE_f   -48 kJ/mol of atoms
Symmetry   P4/mmm (123)
Total DFT energy (no corrections)   -6.78 eV per atom
Polymorph energy (0 for the lowest one)   0.000 eV per atom
Theoretical density   7.9 g/cm³

Cell and atoms, written as CIF:
```
data_GdGaSn2
_space_group_name_H-M_alt 'P 1'
_space_group_IT_number 1
_space_group_name_Hall 'P 1'
_cell_length_a 4.735
_cell_length_b 4.533
_cell_length_c 4.533
_cell_angle_alpha 90.00
_cell_angle_beta 90.00
_cell_angle_gamma 90.00
loop_
_atom_site_label
_atom_site_fract_x
_atom_site_fract_y
_atom_site_fract_z
Sn1 0.000 0.000 0.500
Sn2 0.000 0.500 0.000
Gd1 0.500 0.500 0.500
Ga1 0.500 0.000 0.000
```

---

First-principles (GGA-PBE) data for an optimized crystal structure of Ce6CoSb5, as listed in Alexandria.

Symmetry   C2/m (12)
Formation energy (no corrections)   -0.794 eV per atom
Total DFT energy (no corrections)   -6.07 eV per atom
Theoretical density   6.9 g/cm³

Cell and atoms, written as CIF:
```
data_Ce6CoSb5
_space_group_name_H-M_alt 'P 1'
_space_group_IT_number 1
_space_group_name_Hall 'P 1'
_cell_length_a 7.620
_cell_length_b 7.652
_cell_length_c 7.625
_cell_angle_alpha 59.88
_cell_angle_beta 80.25
_cell_angle_gamma 70.27
loop_
_atom_site_label
_atom_site_fract_x
_atom_site_fract_y
_atom_site_fract_z
Sb1 0.500 0.819 0.362
Sb2 0.000 0.336 0.328
Sb3 0.500 0.181 0.638
Sb4 0.500 0.500 0.000
Sb5 0.000 0.664 0.672
Ce1 0.759 0.776 0.000
Ce2 0.241 0.224 0.000
Ce3 0.771 0.075 0.304
Ce4 0.771 0.378 0.696
Ce5 0.229 0.925 0.696
Ce6 0.229 0.622 0.304
Co1 0.000 0.000 0.000
```

---

First-principles (GGA-PBE) data for an optimized crystal structure of InCu3Au3, as listed in Alexandria.

ΔE_f   -3 kJ/mol of atoms
Symmetry   P2_13 (198)
Total DFT energy (no corrections)   -3.58 eV per atom
Polymorph energy (0 for the lowest one)   0.000 eV per atom
Theoretical density   12.8 g/cm³

Cell and atoms, written as CIF:
```
data_InCu3Au3
_space_group_name_H-M_alt 'P 1'
_space_group_IT_number 1
_space_group_name_Hall 'P 1'
_cell_length_a 7.755
_cell_length_b 7.755
_cell_length_c 7.755
_cell_angle_alpha 90.00
_cell_angle_beta 90.00
_cell_angle_gamma 90.00
loop_
_atom_site_label
_atom_site_fract_x
_atom_site_fract_y
_atom_site_fract_z
In1 0.961 0.039 0.539
In2 0.539 0.961 0.039
In3 0.039 0.539 0.961
In4 0.461 0.461 0.461
Au1 0.619 0.028 0.689
Au2 0.811 0.381 0.528
Au3 0.381 0.528 0.811
Au4 0.972 0.189 0.881
Au5 0.189 0.881 0.972
Au6 0.528 0.811 0.381
Au7 0.119 0.472 0.311
Au8 0.689 0.619 0.028
Au9 0.311 0.119 0.472
Au10 0.028 0.689 0.619
Au11 0.881 0.972 0.189
Au12 0.472 0.311 0.119
Cu1 0.327 0.173 0.827
Cu2 0.165 0.165 0.165
Cu3 0.673 0.673 0.673
Cu4 0.835 0.665 0.335
Cu5 0.827 0.327 0.173
Cu6 0.173 0.827 0.327
Cu7 0.665 0.335 0.835
Cu8 0.363 0.637 0.137
Cu9 0.335 0.835 0.665
Cu10 0.637 0.137 0.363
Cu11 0.863 0.863 0.863
Cu12 0.137 0.363 0.637
```

---

First-principles (GGA-PBE) data for an optimized crystal structure of Pr4Ho7Sc, as listed in Alexandria.

ΔE_f   19 kJ/mol of atoms
Symmetry   C2/m (12)
Total DFT energy (no corrections)   -4.60 eV per atom
Theoretical density   7.5 g/cm³

Cell and atoms, written as CIF:
```
data_Pr4Ho7Sc
_space_group_name_H-M_alt 'P 1'
_space_group_IT_number 1
_space_group_name_Hall 'P 1'
_cell_length_a 5.341
_cell_length_b 13.256
_cell_length_c 6.334
_cell_angle_alpha 94.63
_cell_angle_beta 65.06
_cell_angle_gamma 78.38
loop_
_atom_site_label
_atom_site_fract_x
_atom_site_fract_y
_atom_site_fract_z
Ho1 0.167 0.099 0.566
Ho2 0.671 0.466 0.192
Ho3 0.039 0.372 0.550
Ho4 0.833 0.901 0.434
Ho5 0.961 0.628 0.450
Ho6 0.329 0.534 0.808
Ho7 0.500 0.000 0.000
Pr1 0.255 0.783 0.707
Pr2 0.745 0.217 0.293
Pr3 0.418 0.262 0.903
Pr4 0.582 0.738 0.097
Sc1 0.000 0.000 0.000
```

---

First-principles (GGA-PBE) data for an optimized crystal structure of K2Zn2H7, as listed in Alexandria.

Symmetry   C2/m (12)
Total DFT energy (no corrections)   -2.54 eV per atom
Theoretical density   2.3 g/cm³

Cell and atoms, written as CIF:
```
data_K2Zn2H7
_space_group_name_H-M_alt 'P 1'
_space_group_IT_number 1
_space_group_name_Hall 'P 1'
_cell_length_a 6.342
_cell_length_b 6.268
_cell_length_c 6.268
_cell_angle_alpha 126.71
_cell_angle_beta 105.68
_cell_angle_gamma 105.68
loop_
_atom_site_label
_atom_site_fract_x
_atom_site_fract_y
_atom_site_fract_z
H1 0.000 0.000 0.000
H2 0.750 0.946 0.211
H3 0.750 0.211 0.946
H4 0.806 0.483 0.483
H5 0.250 0.054 0.789
H6 0.194 0.517 0.517
H7 0.250 0.789 0.054
K1 0.500 0.341 0.659
K2 0.500 0.659 0.341
Zn1 0.865 0.204 0.204
Zn2 0.135 0.796 0.796
```

---

Question: Look up the theoretical density of the second one.
Answer: 6.9 g/cm³